Entry 1:
The following is a DFT calculation (GGA-PBE) of a geometry-optimized CdI3O structure.

The value obtained for the density of states at the Fermi level is 4.49 states/eV per atom. For the relative energy among the computed polymorphs, the calculation gives 435.8 meV per atom. The formation energy (no corrections) comes out at 71.76 kJ per mole of atoms.

The structure belongs to space group Pm-3m (No. 221); the cell edges are 5.849, 5.849 and 5.849 Å and the angles 90.00°, 90.00° and 90.00°. Symmetry generates all atoms from Cd at (0.000, 0.000, 0.000), I at (0.000, 0.000, 0.500) and O at (0.500, 0.500, 0.500).

=====

Entry 2:
The following is a DFT calculation (GGA-PBE) of a geometry-optimized Cd3IO structure.

The value obtained for the density of states at the Fermi level is 0.71 states/eV per atom. For the relative energy among the computed polymorphs, the calculation gives 0.0 meV per atom. The formation energy (no corrections) comes out at -12.70 kJ per mole of atoms.

The structure belongs to space group Pm-3m (No. 221); the cell edges are 4.938, 4.938 and 4.938 Å and the angles 90.00°, 90.00° and 90.00°. Symmetry generates all atoms from Cd at (0.000, 0.000, 0.500), I at (0.500, 0.500, 0.500) and O at (0.000, 0.000, 0.000).

=====

Entry 3:
The following is a DFT calculation (GGA-PBE) of a geometry-optimized Cd3IO structure.

The value obtained for the density of states at the Fermi level is 1.32 states/eV per atom. For the relative energy among the computed polymorphs, the calculation gives 990.0 meV per atom. The formation energy (no corrections) comes out at 82.83 kJ per mole of atoms.

The structure belongs to space group Pm-3m (No. 221); the cell edges are 6.288, 6.288 and 6.288 Å and the angles 90.00°, 90.00° and 90.00°. Symmetry generates all atoms from Cd at (0.000, 0.000, 0.500), I at (0.000, 0.000, 0.000) and O at (0.500, 0.500, 0.500).